(1)
Density functional theory data (meta-GGA SCAN) for a PBEsol-optimized structure of SiOsAu2.

Geometry as extended XYZ:
```
4
Lattice="3.828 0.000 0.000 0.000 3.828 0.000 0.000 0.000 4.115" Properties=species:S:1:pos:R:3 pbc="T T T"
Au 0.000 1.914 0.000
Au 1.914 0.000 0.000
Os 1.914 1.914 2.057
Si 0.000 0.000 2.057
```

Results
**E**: -218.6 eV per cell
**Crystal system**: tetragonal
**Uncorrected formation energy**: 0.393 eV per atom
**DOS(E_F)**: 0.27 states/eV per atom
**Distance to the lowest polymorph of the same formula**: 0.101 eV per atom



(2)
Density functional theory data (meta-GGA SCAN) for a PBEsol-optimized structure of Si2OsAu.

Geometry as extended XYZ:
```
4
Lattice="-1.365 2.626 0.725 -3.606 -2.331 -2.341 0.849 -1.886 4.432" Properties=species:S:1:pos:R:3 pbc="T T T"
Au 0.000 0.000 0.000
Os -1.378 -2.108 1.045
Si -1.803 -1.165 -1.171
Si 0.425 -0.943 2.216
```

Results
**E**: -159.7 eV per cell
**Crystal system**: monoclinic
**Uncorrected formation energy**: 0.340 eV per atom
**DOS(E_F)**: 0.15 states/eV per atom
**Distance to the lowest polymorph of the same formula**: 0.434 eV per atom



(3)
Density functional theory data (meta-GGA SCAN) for a PBEsol-optimized structure of Si2OsAu.

Geometry as extended XYZ:
```
4
Lattice="3.988 0.000 0.000 -1.994 4.073 -0.004 0.000 1.956 3.475" Properties=species:S:1:pos:R:3 pbc="T T T"
Au 1.994 0.978 1.738
Os 0.000 0.000 0.000
Si 0.000 2.525 0.867
Si 1.994 3.503 2.605
```

Results
**E**: -160.0 eV per cell
**Crystal system**: tetragonal
**Uncorrected formation energy**: 0.270 eV per atom
**DOS(E_F)**: 0.72 states/eV per atom
**Distance to the lowest polymorph of the same formula**: 0.364 eV per atom



(4)
Density functional theory data (meta-GGA SCAN) for a PBEsol-optimized structure of Si2OsAu.

Geometry as extended XYZ:
```
4
Lattice="3.079 0.000 0.000 0.000 3.665 0.000 0.000 0.000 5.067" Properties=species:S:1:pos:R:3 pbc="T T T"
Au 0.000 0.000 2.302
Os 1.539 1.833 4.087
Si 0.000 0.000 4.869
Si 1.539 1.833 1.411
```

Results
**E**: -161.4 eV per cell
**Crystal system**: orthorhombic
**Uncorrected formation energy**: -0.094 eV per atom
**DOS(E_F)**: 0.21 states/eV per atom
**Distance to the lowest polymorph of the same formula**: 0.000 eV per atom



(5)
Density functional theory data (meta-GGA SCAN) for a PBEsol-optimized structure of SiOsAu2.

Geometry as extended XYZ:
```
4
Lattice="2.860 0.000 0.000 1.430 2.477 0.000 1.430 0.826 8.643" Properties=species:S:1:pos:R:3 pbc="T T T"
Au 1.430 0.826 2.042
Au 4.291 2.477 6.601
Os 2.860 1.651 4.322
Si 0.000 0.000 0.000
```

Results
**E**: -218.3 eV per cell
**Crystal system**: trigonal
**Uncorrected formation energy**: 0.485 eV per atom
**DOS(E_F)**: 0.58 states/eV per atom
**Distance to the lowest polymorph of the same formula**: 0.194 eV per atom



(6)
Density functional theory data (meta-GGA SCAN) for a PBEsol-optimized structure of SiOs2Au.

Geometry as extended XYZ:
```
4
Lattice="-0.022 -2.654 1.112 3.804 -0.462 -1.026 1.445 3.190 3.921" Properties=species:S:1:pos:R:3 pbc="T T T"
Au 2.931 0.943 2.776
Os 0.032 -0.121 0.173
Os 2.236 -1.273 1.195
Si 0.727 -0.534 2.937
```

Results
**E**: -221.7 eV per cell
**Crystal system**: orthorhombic
**Uncorrected formation energy**: 0.303 eV per atom
**DOS(E_F)**: 0.62 states/eV per atom



(7)
Density functional theory data (meta-GGA SCAN) for a PBEsol-optimized structure of Si4OsAu.

Geometry as extended XYZ:
```
6
Lattice="-2.902 -3.483 -1.950 1.068 -1.910 -4.423 1.621 -4.648 -0.355" Properties=species:S:1:pos:R:3 pbc="T T T"
Au -0.053 -2.510 -1.682
Os 0.000 0.000 0.000
Si -0.948 -3.945 -4.031
Si 1.326 -4.531 -3.229
Si -0.670 -5.322 -1.985
Si -0.133 -6.283 -4.210
```

Results
**E**: -176.3 eV per cell
**Crystal system**: cubic
**Uncorrected formation energy**: 0.808 eV per atom
**DOS(E_F)**: 0.62 states/eV per atom



(8)
Density functional theory data (meta-GGA SCAN) for a PBEsol-optimized structure of SiOsAu2.

Geometry as extended XYZ:
```
4
Lattice="-0.582 -2.390 -1.382 1.565 1.932 -1.334 7.330 -3.676 3.274" Properties=species:S:1:pos:R:3 pbc="T T T"
Au 0.169 -0.085 0.076
Au 5.948 -2.966 1.079
Os 3.429 -1.720 1.532
Si 2.433 -1.203 -0.491
```

Results
**E**: -219.0 eV per cell
**Crystal system**: orthorhombic
**Uncorrected formation energy**: 0.291 eV per atom
**DOS(E_F)**: 0.46 states/eV per atom
**Distance to the lowest polymorph of the same formula**: 0.000 eV per atom



(9)
Density functional theory data (meta-GGA SCAN) for a PBEsol-optimized structure of SiTc2OsAu.

Geometry as extended XYZ:
```
5
Lattice="4.310 0.000 0.000 0.000 4.816 0.000 0.000 0.000 4.816" Properties=species:S:1:pos:R:3 pbc="T T T"
Os 2.155 2.408 2.408
Si 2.155 0.000 0.000
Au 0.000 0.000 0.000
Tc 0.000 0.000 2.408
Tc 0.000 2.408 0.000
```

Results
**E**: -209.7 eV per cell
**Crystal system**: tetragonal
**Uncorrected formation energy**: 2.289 eV per atom
**DOS(E_F)**: 0.66 states/eV per atom



(10)
Density functional theory data (meta-GGA SCAN) for a PBEsol-optimized structure of ZrSn2OsAu.

Geometry as extended XYZ:
```
5
Lattice="4.999 0.000 0.000 0.000 4.999 0.000 0.000 0.000 4.975" Properties=species:S:1:pos:R:3 pbc="T T T"
Os 0.000 0.000 0.000
Au 2.499 2.499 2.488
Sn 0.000 2.499 0.000
Sn 2.499 0.000 0.000
Zr 0.000 0.000 2.488
```

Results
**DFT formation energy**: 0.27 eV per atom
**E**: -242.3 eV per cell
**Crystal system**: tetragonal
**DOS(E_F)**: 0.81 states/eV per atom



(11)
Density functional theory data (meta-GGA SCAN) for a PBEsol-optimized structure of SrOs2Au.

Geometry as extended XYZ:
```
4
Lattice="3.959 0.000 0.000 0.000 3.959 0.000 0.000 0.000 4.561" Properties=species:S:1:pos:R:3 pbc="T T T"
Au 0.000 0.000 2.280
Os 0.000 1.979 0.000
Os 1.979 0.000 0.000
Sr 1.979 1.979 2.280
```

Results
**DFT formation energy**: 0.93 eV per atom
**E**: -231.5 eV per cell
**Crystal system**: tetragonal
**DOS(E_F)**: 0.92 states/eV per atom
**Distance to the lowest polymorph of the same formula**: 0.271 eV per atom



(12)
Density functional theory data (meta-GGA SCAN) for a PBEsol-optimized structure of Sr2OsAu.

Geometry as extended XYZ:
```
4
Lattice="4.431 0.000 0.000 0.000 4.431 0.000 -2.216 -2.216 4.700" Properties=species:S:1:pos:R:3 pbc="T T T"
Au 2.216 2.216 0.000
Os 0.000 2.216 2.350
Sr 0.000 0.000 0.000
Sr 2.216 0.000 2.350
```

Results
**DFT formation energy**: 0.41 eV per atom
**E**: -184.0 eV per cell
**Crystal system**: tetragonal
**DOS(E_F)**: 0.80 states/eV per atom
**Distance to the lowest polymorph of the same formula**: 0.250 eV per atom



(13)
Density functional theory data (meta-GGA SCAN) for a PBEsol-optimized structure of Sr2OsAu.

Geometry as extended XYZ:
```
4
Lattice="3.459 0.000 0.000 0.000 3.459 0.000 0.000 0.000 7.987" Properties=species:S:1:pos:R:3 pbc="T T T"
Au 1.730 1.730 3.993
Os 1.730 1.730 0.000
Sr 0.000 0.000 1.864
Sr 0.000 0.000 6.123
```

Results
**DFT formation energy**: 0.16 eV per atom
**E**: -185.0 eV per cell
**Crystal system**: tetragonal
**DOS(E_F)**: 0.85 states/eV per atom
**Distance to the lowest polymorph of the same formula**: 0.000 eV per atom



(14)
Density functional theory data (meta-GGA SCAN) for a PBEsol-optimized structure of SrOs2Au.

Geometry as extended XYZ:
```
4
Lattice="2.868 0.000 0.000 0.000 5.080 -0.084 -1.434 -2.581 5.223" Properties=species:S:1:pos:R:3 pbc="T T T"
Au 1.434 0.000 0.000
Os 1.434 2.259 2.832
Os 0.000 0.240 2.307
Sr 0.000 2.540 -0.042
```

Results
**DFT formation energy**: 0.66 eV per atom
**E**: -232.5 eV per cell
**Crystal system**: monoclinic
**DOS(E_F)**: 0.79 states/eV per atom
**Distance to the lowest polymorph of the same formula**: 0.000 eV per atom



(15)
Density functional theory data (meta-GGA SCAN) for a PBEsol-optimized structure of TaOs2Au.

Geometry as extended XYZ:
```
4
Lattice="3.269 0.000 0.000 0.000 3.269 0.000 0.000 0.000 5.830" Properties=species:S:1:pos:R:3 pbc="T T T"
Au 1.635 1.635 2.915
Os 0.000 0.000 4.399
Os 0.000 0.000 1.431
Ta 1.635 1.635 0.000
```

Results
**DFT formation energy**: 0.14 eV per atom
**E**: -278.9 eV per cell
**Crystal system**: tetragonal
**DOS(E_F)**: 0.94 states/eV per atom
**Distance to the lowest polymorph of the same formula**: 0.149 eV per atom